Record 1
Compound: CaDy2Te4
Source: Alexandria
Functional: PBE
Structure: optimized geometry

ΔE_f (raw) ... -1.44 eV per atom
M_tot ... 0.0 μB/f.u.

a b c (Å): 7.486 7.486 15.140
angles (deg): 90.00 90.00 146.26
Fractional positions:
Ca: 0.115 0.885 0.750
Ca: 0.885 0.115 0.250
Dy: 0.366 0.634 0.570
Dy: 0.366 0.634 0.930
Dy: 0.634 0.366 0.070
Dy: 0.634 0.366 0.430
Te: 0.000 0.000 0.000
Te: 0.000 0.000 0.500
Te: 0.276 0.724 0.119
Te: 0.276 0.724 0.381
Te: 0.457 0.543 0.750
Te: 0.543 0.457 0.250
Te: 0.724 0.276 0.619
Te: 0.724 0.276 0.881

=====

Record 2
Compound: CeErRe
Source: Alexandria
Functional: PBE
Structure: optimized geometry

ΔH_f (0 K) ... 59 meV per atom
M_tot ... 0.0 μB/f.u.

a b c (Å): 6.991 6.991 6.991
angles (deg): 151.87 151.87 40.20
Fractional positions:
Ce: 0.000 0.000 0.000
Er: 0.744 0.744 0.000
Re: 0.376 0.376 0.000

=====

Computed VASP energy (eV/atom) in order:
-4.834; -7.590